Run 1
PBE-GGA BaCuPt, optimized geometry; crystal system = hexagonal; Fermi-level density of states = 1.43 states/eV/f.u.
1.0
-2.223 -2.874 2.479
3.960 -1.068 -1.589
1.971 1.717 3.759
Cu Ba Pt
1 1 1
direct
0.667 0.333 0.500 Cu
0.000 0.000 0.000 Ba
0.333 0.667 0.500 Pt

***

Run 2
PBE-GGA BaCuPt, optimized geometry; crystal system = cubic; Fermi-level density of states = 0.69 states/eV/f.u.
1.0
-5.031 -4.444 1.059
3.497 -2.732 5.146
-2.940 4.355 4.309
Cu Pt Ba
4 4 4
direct
0.339 0.661 0.161 Cu
0.161 0.339 0.661 Cu
0.661 0.161 0.339 Cu
0.839 0.839 0.839 Cu
0.425 0.425 0.425 Pt
0.075 0.575 0.925 Pt
0.925 0.075 0.575 Pt
0.575 0.925 0.075 Pt
0.145 0.145 0.145 Ba
0.645 0.355 0.855 Ba
0.355 0.855 0.645 Ba
0.855 0.645 0.355 Ba

***

How far above the most stable structure does each one sit? In meV per atom: run 1 0; run 2 48.

***

Run 1
PBE-GGA BaCuPt, optimized geometry; crystal system = cubic; Fermi-level density of states = 1.77 states/eV/f.u.
1.0
4.794 0.000 0.000
2.397 4.152 0.000
2.397 1.384 3.914
Ba Cu Pt
1 1 1
direct
0.500 0.500 0.500 Ba
0.750 0.750 0.750 Cu
0.000 0.000 0.000 Pt

***

Run 2
PBE-GGA BaCuPt, optimized geometry; crystal system = tetragonal; Fermi-level density of states = 2.73 states/eV/f.u.
1.0
5.968 -0.002 0.002
4.872 3.447 -0.013
1.096 0.363 3.430
Ba Cu Pt
1 1 1
direct
0.004 0.004 0.996 Ba
0.277 0.277 0.723 Cu
0.718 0.718 0.282 Pt

***

How far above the most stable structure does each one sit? In meV per atom: run 1 120; run 2 0.

***

Run 1
PBE-GGA Ba4CuPt, optimized geometry; crystal system = monoclinic; Fermi-level density of states = 4.72 states/eV/f.u.
1.0
4.681 0.000 0.000
0.000 7.499 -2.723
0.000 0.041 8.125
Ba Cu Pt
4 1 1
direct
0.000 0.271 0.748 Ba
0.000 0.729 0.252 Ba
0.500 0.270 0.267 Ba
0.500 0.730 0.733 Ba
0.500 0.500 0.000 Cu
0.000 0.500 0.500 Pt

***

Run 2
PBE-GGA Ba4CuPt, optimized geometry; crystal system = cubic; Fermi-level density of states = 7.06 states/eV/f.u.
1.0
0.000 4.875 4.875
4.875 0.000 4.875
4.875 4.875 0.000
Ba Cu Pt
4 1 1
direct
0.877 0.374 0.374 Ba
0.374 0.374 0.877 Ba
0.374 0.877 0.374 Ba
0.374 0.374 0.374 Ba
0.750 0.750 0.750 Cu
0.000 0.000 0.000 Pt

***

How far above the most stable structure does each one sit? In meV per atom: run 1 0; run 2 1044.